# Li2InCu2

A relaxed structure of Li2InCu2 (PBE, Alexandria).

Properties
* magnetic moment: 0.000 Bohr magnetons per cell
* ΔH_f (0 K): -13 kJ/mol of atoms
* space-group type: R-3m
* polymorph energy (0 for the lowest one): 0.000 eV per atom

abc: 5.1881 5.1881 5.1881
angles: 49.85 49.85 49.85
Closest atoms and distances in Å follow each position.
Element x y z (fractional)
Li: 0.2096 0.2096 0.2096  4 Cu 2.61-2.71, 3 Li 2.78, 1 In 2.85
Li: 0.7904 0.7904 0.7904  4 Cu 2.61-2.71, 3 Li 2.78, 1 In 2.85
In: 0.0000 0.0000 0.0000  6 Cu 2.72, 8 Li 2.85-3.03
Cu: 0.4087 0.4087 0.4087  1 Cu 2.48, 4 Li 2.61-2.71, 3 In 2.72
Cu: 0.5913 0.5913 0.5913  1 Cu 2.48, 4 Li 2.61-2.71, 3 In 2.72